A plane-wave DFT calculation with PBE+U was carried out for crystalline NbCoF6 at its relaxed geometry.

```
NbCoF6
1.0
-4.2264 -2.3558 0.4849
-0.3995 -0.3268 -5.0690
2.3546 -3.6864 2.6129
Nb Co F
1 1 6
direct
0.0000 0.6667 0.3333
0.5000 0.0000 0.0000
0.7551 0.9725 0.6601
0.2449 0.9725 0.3124
0.2449 0.6876 0.6601
0.7551 0.6876 0.0275
0.7551 0.3399 0.3124
0.2449 0.3399 0.0275
```

Output
VASP energy = -5.89 eV/atom
Size of the total moment = 2.0 μB per formula unit
SG = No. 149